[1]
The following is a DFT calculation (GGA-PBE) of a relaxed Pu2Ga6CoPt crystal.

Cell and atoms, written as POSCAR:
```
Pu2Ga6CoPt
1.0
0.0000 4.6728 4.6728
4.6728 0.0000 4.6728
4.6728 4.6728 0.0000
Pu Ga Co Pt
2 6 1 1
direct
0.2500 0.2500 0.2500 Pu
0.7500 0.7500 0.7500 Pu
0.2404 0.2404 0.7596 Ga
0.2404 0.7596 0.2404 Ga
0.2404 0.7596 0.7596 Ga
0.7596 0.2404 0.2404 Ga
0.7596 0.2404 0.7596 Ga
0.7596 0.7596 0.2404 Ga
0.0000 0.0000 0.0000 Co
0.5000 0.5000 0.5000 Pt
```

Values from the calculation:
Formation enthalpy at 0 K ... -2.51 eV per formula unit

[2]
The following is a DFT calculation (GGA-PBE) of a relaxed GaCo2PtS crystal.

Cell and atoms, written as POSCAR:
```
GaCo2PtS
1.0
4.1157 0.0000 0.0000
0.0000 4.1157 0.0000
0.0000 0.0000 4.6398
Ga Co Pt S
1 2 1 1
direct
0.0000 0.0000 0.0000 Ga
0.0000 0.5000 0.5000 Co
0.5000 0.0000 0.5000 Co
0.5000 0.5000 0.0000 Pt
0.5000 0.5000 0.5000 S
```

Values from the calculation:
Formation energy (no corrections) ... 1.2 eV per formula unit

[3]
The following is a DFT calculation (GGA-PBE) of a relaxed GaCo2SbPt crystal.

Cell and atoms, written as POSCAR:
```
GaCo2SbPt
1.0
4.4250 0.0000 0.0000
0.0000 4.4250 0.0000
0.0000 0.0000 4.6708
Ga Co Sb Pt
1 2 1 1
direct
0.0000 0.0000 0.0000 Ga
0.0000 0.5000 0.0000 Co
0.5000 0.0000 0.0000 Co
0.5000 0.5000 0.5000 Sb
0.0000 0.0000 0.5000 Pt
```

Values from the calculation:
Formation energy (no corrections) ... 3.2 eV per formula unit

[4]
The following is a DFT calculation (GGA-PBE) of a relaxed TaGaCoPt crystal.

Cell and atoms, written as POSCAR:
```
TaGaCoPt
1.0
0.0000 3.1032 3.1032
3.1032 0.0000 3.1032
3.1032 3.1032 0.0000
Ta Ga Co Pt
1 1 1 1
direct
0.0000 0.0000 0.0000 Ta
0.5000 0.5000 0.5000 Ga
0.7500 0.7500 0.7500 Co
0.2500 0.2500 0.2500 Pt
```

Values from the calculation:
Formation enthalpy at 0 K ... -1.35 eV per formula unit

[5]
The following is a DFT calculation (GGA-PBE) of a relaxed TbGa3CoPt crystal.

Cell and atoms, written as POSCAR:
```
TbGa3CoPt
1.0
4.0029 -5.2804 0.0000
4.0029 5.2804 0.0000
0.0000 0.0000 5.3607
Tb Ga Co Pt
2 6 2 2
direct
0.2064 0.7936 0.7500 Tb
0.7936 0.2064 0.2500 Tb
0.2557 0.2557 0.0000 Ga
0.2557 0.2557 0.5000 Ga
0.3294 0.6706 0.2500 Ga
0.6706 0.3294 0.7500 Ga
0.7443 0.7443 0.0000 Ga
0.7443 0.7443 0.5000 Ga
0.4496 0.5504 0.7500 Co
0.5504 0.4496 0.2500 Co
0.0899 0.9101 0.2500 Pt
0.9101 0.0899 0.7500 Pt
```

Values from the calculation:
Formation enthalpy at 0 K ... -2.55 eV per formula unit

[6]
The following is a DFT calculation (GGA-PBE) of a relaxed Tb2Ga3CoPt4 crystal.

Cell and atoms, written as POSCAR:
```
Tb2Ga3CoPt4
1.0
4.0783 0.0000 0.0000
0.0000 4.0783 0.0000
0.0000 0.0000 10.9781
Tb Ga Co Pt
2 3 1 4
direct
0.0000 0.5000 0.2426 Tb
0.5000 0.0000 0.7574 Tb
0.0000 0.0000 0.0000 Ga
0.0000 0.5000 0.6369 Ga
0.5000 0.0000 0.3631 Ga
0.5000 0.5000 0.0000 Co
0.0000 0.0000 0.5000 Pt
0.0000 0.5000 0.8614 Pt
0.5000 0.0000 0.1386 Pt
0.5000 0.5000 0.5000 Pt
```

Values from the calculation:
Formation enthalpy at 0 K ... -8.37 eV per formula unit

[7]
The following is a DFT calculation (GGA-PBE) of a relaxed TbGa4CoPt2 crystal.

Cell and atoms, written as POSCAR:
```
TbGa4CoPt2
1.0
2.1212 1.2247 8.5497
-2.1212 1.2247 8.5497
0.0000 -2.4493 8.5497
Tb Ga Co Pt
1 4 1 2
direct
0.0000 0.0000 0.0000 Tb
0.1348 0.1348 0.1348 Ga
0.3995 0.3995 0.3995 Ga
0.6005 0.6005 0.6005 Ga
0.8652 0.8652 0.8652 Ga
0.5000 0.5000 0.5000 Co
0.2377 0.2377 0.2377 Pt
0.7623 0.7623 0.7623 Pt
```

Values from the calculation:
Formation enthalpy at 0 K ... -4.92 eV per formula unit

[8]
The following is a DFT calculation (GGA-PBE) of a relaxed ThGa2Co2Pt crystal.

Cell and atoms, written as POSCAR:
```
ThGa2Co2Pt
1.0
4.6778 0.0000 0.0000
0.0000 4.6778 0.0000
0.0000 0.0000 5.4754
Th Ga Co Pt
1 2 2 1
direct
0.0000 0.0000 0.0000 Th
0.0000 0.5000 0.5000 Ga
0.5000 0.0000 0.5000 Ga
0.5000 0.5000 0.2087 Co
0.5000 0.5000 0.7913 Co
0.0000 0.0000 0.5000 Pt
```

Values from the calculation:
Formation enthalpy at 0 K ... 0.37 eV per formula unit

[9]
The following is a DFT calculation (GGA-PBE) of a relaxed Th2Ga4CoPt3 crystal.

Cell and atoms, written as POSCAR:
```
Th2Ga4CoPt3
1.0
4.2509 0.0000 0.0000
0.0000 4.2509 0.0000
0.0000 0.0000 10.4448
Th Ga Co Pt
2 4 1 3
direct
0.0000 0.5000 0.2468 Th
0.5000 0.0000 0.7532 Th
0.0000 0.0000 0.5000 Ga
0.0000 0.5000 0.8779 Ga
0.5000 0.0000 0.1221 Ga
0.5000 0.5000 0.5000 Ga
0.5000 0.5000 0.0000 Co
0.0000 0.0000 0.0000 Pt
0.0000 0.5000 0.6397 Pt
0.5000 0.0000 0.3603 Pt
```

Values from the calculation:
Formation enthalpy at 0 K ... -8.42 eV per formula unit

[10]
The following is a DFT calculation (GGA-PBE) of a relaxed ThGa3CoPt crystal.

Cell and atoms, written as POSCAR:
```
ThGa3CoPt
1.0
3.0654 -6.0116 0.0000
3.0654 6.0116 0.0000
0.0000 0.0000 5.9107
Th Ga Co Pt
2 6 2 2
direct
0.2358 0.7642 0.7500 Th
0.7642 0.2358 0.2500 Th
0.2109 0.2109 0.0000 Ga
0.2109 0.2109 0.5000 Ga
0.3635 0.6365 0.2500 Ga
0.6365 0.3635 0.7500 Ga
0.7891 0.7891 0.0000 Ga
0.7891 0.7891 0.5000 Ga
0.4343 0.5657 0.7500 Co
0.5657 0.4343 0.2500 Co
0.1555 0.8445 0.2500 Pt
0.8445 0.1555 0.7500 Pt
```

Values from the calculation:
Formation enthalpy at 0 K ... -2.94 eV per formula unit